No. 1
KNdAlTe3, relaxed, DFT PBE; calculated total energy = -24.67 eV/f.u.
1.0
2.407 -7.587 0.000
2.407 7.587 0.000
0.000 0.000 12.103
Al K Nd Te
2 2 2 6
direct
0.024 0.976 0.250
0.976 0.024 0.750
0.751 0.249 0.250
0.249 0.751 0.750
0.500 0.500 0.000
0.500 0.500 0.500
0.131 0.869 0.072
0.435 0.565 0.250
0.131 0.869 0.428
0.869 0.131 0.572
0.565 0.435 0.750
0.869 0.131 0.928

No. 2
BaSrSm2Sb2O, relaxed, DFT PBE; calculated total energy = -37.01 eV/f.u.
1.0
3.261 -5.494 7.382
-2.958 -3.128 8.762
-1.520 1.557 -9.517
Ba O Sb Sm Sr
1 1 2 2 1
direct
0.679 0.679 0.000
0.490 0.490 0.000
0.125 0.125 0.000
0.872 0.872 0.000
0.000 0.500 0.500
0.500 0.000 0.500
0.335 0.335 0.000

No. 3
PmF3, relaxed, DFT PBE; calculated total energy = -26.47 eV/f.u.
1.0
4.444 0.000 0.000
0.000 4.444 0.000
0.000 0.000 4.444
F Pm
3 1
direct
0.500 0.000 0.000
0.000 0.500 0.000
0.000 0.000 0.500
0.000 0.000 0.000

Please write out number 1 again, unchanged.
KNdAlTe3, relaxed, DFT PBE; calculated total energy = -24.67 eV/f.u.
1.0
2.407 -7.587 0.000
2.407 7.587 0.000
0.000 0.000 12.103
Al K Nd Te
2 2 2 6
direct
0.024 0.976 0.250
0.976 0.024 0.750
0.751 0.249 0.250
0.249 0.751 0.750
0.500 0.500 0.000
0.500 0.500 0.500
0.131 0.869 0.072
0.435 0.565 0.250
0.131 0.869 0.428
0.869 0.131 0.572
0.565 0.435 0.750
0.869 0.131 0.928